Arrangement 1

A relaxed structure of Be2Ir, computed with PBEsol.

The structure in POSCAR format:
```
Be2Ir
1.0
2.758 0.000 0.000
0.000 6.340 0.000
0.000 -3.170 5.490
Be Ir
6 3
direct
0.500 0.613 0.000 Be
0.000 0.000 0.287 Be
0.000 0.713 0.713 Be
0.500 0.387 0.387 Be
0.000 0.287 0.000 Be
0.500 0.000 0.613 Be
0.000 0.667 0.333 Ir
0.500 0.000 0.000 Ir
0.000 0.333 0.667 Ir
```

space group	P-62m, No. 189
calculated volume	32.0	Å³/f.u.

Arrangement 2

A relaxed structure of Be2Ir, computed with PBEsol.

The structure in POSCAR format:
```
Be2Ir
1.0
2.645 0.000 0.000
0.000 3.600 0.000
0.000 -1.800 3.118
Be Ir
2 1
direct
0.500 0.667 0.333 Be
0.500 0.333 0.667 Be
0.000 0.000 0.000 Ir
```

space group	P6/mmm, No. 191
calculated volume	29.7	Å³/f.u.

Arrangement 3

A relaxed structure of Be2Ir, computed with PBEsol.

The structure in POSCAR format:
```
Be2Ir
1.0
2.848 0.000 0.000
0.000 2.848 0.000
-1.424 -1.424 3.690
Be Ir
2 1
direct
0.335 0.335 0.670 Be
0.665 0.665 0.330 Be
0.000 0.000 0.000 Ir
```

space group	I4/mmm, No. 139
calculated volume	29.9	Å³/f.u.

Energy comparison, zero being the most stable, in meV/atom: arrangement 1 251; arrangement 2 40; arrangement 3 0.